Entry 1:
# PrH2Pd3 | Alexandria | PBE-GGA | optimized geometry
# * uncorrected energy: -4.7737 eV/atom
data_PrH2Pd3
_cell_length_a 5.5222
_cell_length_b 5.5222
_cell_length_c 3.0545
_cell_angle_alpha 90.00
_cell_angle_beta 90.00
_cell_angle_gamma 120.00
_space_group_name_H-M_alt 'P 1'
_space_group_IT_number 1
loop_
_space_group_symop_operation_xyz
'x,y,z'
loop_
_atom_site_label
_atom_site_type_symbol
_atom_site_fract_x
_atom_site_fract_y
_atom_site_fract_z
Pr1 Pr 0.0000 0.0000 0.0000
H1 H 0.3333 0.6667 0.0000
H2 H 0.6667 0.3333 0.0000
Pd1 Pd 0.0000 0.5000 0.5000
Pd2 Pd 0.5000 0.0000 0.5000
Pd3 Pd 0.5000 0.5000 0.5000

Entry 2:
# PrH3Pd | Alexandria | PBE-GGA | optimized geometry
# * uncorrected energy: -4.5088 eV/atom
data_PrH3Pd
_cell_length_a 3.8036
_cell_length_b 3.8036
_cell_length_c 3.8036
_cell_angle_alpha 90.00
_cell_angle_beta 90.00
_cell_angle_gamma 90.00
_space_group_name_H-M_alt 'P 1'
_space_group_IT_number 1
loop_
_space_group_symop_operation_xyz
'x,y,z'
loop_
_atom_site_label
_atom_site_type_symbol
_atom_site_fract_x
_atom_site_fract_y
_atom_site_fract_z
Pr1 Pr 0.0000 0.0000 0.0000
H1 H 0.0000 0.5000 0.5000
H2 H 0.5000 0.0000 0.5000
H3 H 0.5000 0.5000 0.0000
Pd1 Pd 0.5000 0.5000 0.5000

Entry 3:
# PrH3Pd6 | Alexandria | PBE-GGA | optimized geometry
# * uncorrected energy: -4.9487 eV/atom
data_PrH3Pd6
_cell_length_a 5.5083
_cell_length_b 5.6574
_cell_length_c 5.6612
_cell_angle_alpha 81.32
_cell_angle_beta 61.44
_cell_angle_gamma 61.99
_space_group_name_H-M_alt 'P 1'
_space_group_IT_number 1
loop_
_space_group_symop_operation_xyz
'x,y,z'
loop_
_atom_site_label
_atom_site_type_symbol
_atom_site_fract_x
_atom_site_fract_y
_atom_site_fract_z
Pr1 Pr 0.0000 0.0000 0.0000
H1 H 0.3369 0.2049 0.6096
H2 H 0.5093 0.6786 0.3212
H3 H 0.6839 0.2870 0.7350
Pd1 Pd 0.2484 0.5265 0.4864
Pd2 Pd 0.2878 0.4155 0.9982
Pd3 Pd 0.2912 0.0351 0.3858
Pd4 Pd 0.7100 0.9984 0.5944
Pd5 Pd 0.7136 0.6077 0.9658
Pd6 Pd 0.7573 0.5130 0.4800

Entry 4:
# PrH3Pd2 | Alexandria | PBE-GGA | optimized geometry
# * uncorrected energy: -4.6399 eV/atom
data_PrH3Pd2
_cell_length_a 5.4789
_cell_length_b 5.4789
_cell_length_c 5.3799
_cell_angle_alpha 90.00
_cell_angle_beta 90.00
_cell_angle_gamma 96.11
_space_group_name_H-M_alt 'P 1'
_space_group_IT_number 1
loop_
_space_group_symop_operation_xyz
'x,y,z'
loop_
_atom_site_label
_atom_site_type_symbol
_atom_site_fract_x
_atom_site_fract_y
_atom_site_fract_z
Pr1 Pr 0.1971 0.8029 0.7500
Pr2 Pr 0.8029 0.1971 0.2500
H1 H 0.0798 0.2594 0.7500
H2 H 0.2594 0.0798 0.2500
H3 H 0.4598 0.5402 0.2500
H4 H 0.5402 0.4598 0.7500
H5 H 0.7406 0.9202 0.7500
H6 H 0.9202 0.7406 0.2500
Pd1 Pd 0.3063 0.3063 0.0000
Pd2 Pd 0.3063 0.3063 0.5000
Pd3 Pd 0.6937 0.6937 0.0000
Pd4 Pd 0.6937 0.6937 0.5000

Entry 5:
# PrH4Pd | Alexandria | PBE-GGA | optimized geometry
# * uncorrected energy: -4.2918 eV/atom
data_PrH4Pd
_cell_length_a 4.5615
_cell_length_b 4.5615
_cell_length_c 4.1103
_cell_angle_alpha 116.36
_cell_angle_beta 116.36
_cell_angle_gamma 62.67
_space_group_name_H-M_alt 'P 1'
_space_group_IT_number 1
loop_
_space_group_symop_operation_xyz
'x,y,z'
loop_
_atom_site_label
_atom_site_type_symbol
_atom_site_fract_x
_atom_site_fract_y
_atom_site_fract_z
Pr1 Pr 0.0000 0.0000 0.0000
H1 H 0.0649 0.5924 0.3262
H2 H 0.4076 0.9351 0.6738
H3 H 0.5924 0.0649 0.3262
H4 H 0.9351 0.4076 0.6738
Pd1 Pd 0.5000 0.5000 0.5000

Entry 6:
# Pr2HPd4 | Alexandria | PBE-GGA | optimized geometry
# * uncorrected energy: -5.2999 eV/atom
data_Pr2HPd4
_cell_length_a 9.7418
_cell_length_b 9.7418
_cell_length_c 9.7418
_cell_angle_alpha 157.31
_cell_angle_beta 157.31
_cell_angle_gamma 32.30
_space_group_name_H-M_alt 'P 1'
_space_group_IT_number 1
loop_
_space_group_symop_operation_xyz
'x,y,z'
loop_
_atom_site_label
_atom_site_type_symbol
_atom_site_fract_x
_atom_site_fract_y
_atom_site_fract_z
Pr1 Pr 0.1321 0.1321 0.0000
Pr2 Pr 0.8679 0.8679 0.0000
H1 H 0.5000 0.5000 0.0000
Pd1 Pd 0.0000 0.5000 0.5000
Pd2 Pd 0.2918 0.2918 0.0000
Pd3 Pd 0.5000 0.0000 0.5000
Pd4 Pd 0.7082 0.7082 0.0000

Entry 7:
# PrH3Pd3 | Alexandria | PBE-GGA | optimized geometry
# * uncorrected energy: -4.8220 eV/atom
data_PrH3Pd3
_cell_length_a 5.5666
_cell_length_b 5.5666
_cell_length_c 5.5666
_cell_angle_alpha 90.00
_cell_angle_beta 90.00
_cell_angle_gamma 90.00
_space_group_name_H-M_alt 'P 1'
_space_group_IT_number 1
loop_
_space_group_symop_operation_xyz
'x,y,z'
loop_
_atom_site_label
_atom_site_type_symbol
_atom_site_fract_x
_atom_site_fract_y
_atom_site_fract_z
Pr1 Pr 0.0000 0.0000 0.0000
Pr2 Pr 0.5000 0.5000 0.5000
H1 H 0.0000 0.2500 0.5000
H2 H 0.0000 0.7500 0.5000
H3 H 0.2500 0.5000 0.0000
H4 H 0.5000 0.0000 0.2500
H5 H 0.5000 0.0000 0.7500
H6 H 0.7500 0.5000 0.0000
Pd1 Pd 0.0000 0.5000 0.2500
Pd2 Pd 0.0000 0.5000 0.7500
Pd3 Pd 0.2500 0.0000 0.5000
Pd4 Pd 0.5000 0.2500 0.0000
Pd5 Pd 0.5000 0.7500 0.0000
Pd6 Pd 0.7500 0.0000 0.5000

Entry 8:
# PrH3Pd | Alexandria | PBE-GGA | optimized geometry
# * uncorrected energy: -4.5290 eV/atom
data_PrH3Pd
_cell_length_a 6.3356
_cell_length_b 6.3356
_cell_length_c 5.0442
_cell_angle_alpha 93.45
_cell_angle_beta 93.45
_cell_angle_gamma 35.43
_space_group_name_H-M_alt 'P 1'
_space_group_IT_number 1
loop_
_space_group_symop_operation_xyz
'x,y,z'
loop_
_atom_site_label
_atom_site_type_symbol
_atom_site_fract_x
_atom_site_fract_y
_atom_site_fract_z
Pr1 Pr 0.0000 0.0000 0.0000
Pr2 Pr 0.7289 0.7289 0.5034
H1 H 0.1699 0.1699 0.2652
H2 H 0.3513 0.3513 0.7318
H3 H 0.5566 0.5566 0.2417
H4 H 0.5646 0.5646 0.7551
H5 H 0.7836 0.7836 0.0205
H6 H 0.9428 0.9428 0.4803
Pd1 Pd 0.2854 0.2854 0.0359
Pd2 Pd 0.4518 0.4518 0.4900

Entry 9:
# Pr2HPd6 | Alexandria | PBE-GGA | optimized geometry
# * uncorrected energy: -5.5922 eV/atom
data_Pr2HPd6
_cell_length_a 5.9890
_cell_length_b 5.9890
_cell_length_c 5.9890
_cell_angle_alpha 120.12
_cell_angle_beta 120.12
_cell_angle_gamma 89.79
_space_group_name_H-M_alt 'P 1'
_space_group_IT_number 1
loop_
_space_group_symop_operation_xyz
'x,y,z'
loop_
_atom_site_label
_atom_site_type_symbol
_atom_site_fract_x
_atom_site_fract_y
_atom_site_fract_z
Pr1 Pr 0.2500 0.7500 0.5000
Pr2 Pr 0.7500 0.2500 0.5000
H1 H 0.0000 0.0000 0.0000
Pd1 Pd 0.2507 0.2507 0.0000
Pd2 Pd 0.2509 0.2509 0.5017
Pd3 Pd 0.2509 0.7491 0.0000
Pd4 Pd 0.7491 0.2509 0.0000
Pd5 Pd 0.7493 0.7493 0.0000
Pd6 Pd 0.7491 0.7491 0.4983

Entry 10:
# Pr2HPd | Alexandria | PBE-GGA | optimized geometry
# * uncorrected energy: -4.5709 eV/atom
data_Pr2HPd
_cell_length_a 8.9194
_cell_length_b 8.9194
_cell_length_c 8.9194
_cell_angle_alpha 22.05
_cell_angle_beta 22.05
_cell_angle_gamma 22.05
_space_group_name_H-M_alt 'P 1'
_space_group_IT_number 1
loop_
_space_group_symop_operation_xyz
'x,y,z'
loop_
_atom_site_label
_atom_site_type_symbol
_atom_site_fract_x
_atom_site_fract_y
_atom_site_fract_z
Pr1 Pr 0.1042 0.1042 0.1042
Pr2 Pr 0.8958 0.8958 0.8958
H1 H 0.5000 0.5000 0.5000
Pd1 Pd 0.0000 0.0000 0.0000

Entry 11:
# PrH4Pd | Alexandria | PBE-GGA | optimized geometry
# * uncorrected energy: -4.2244 eV/atom
data_PrH4Pd
_cell_length_a 6.1301
_cell_length_b 6.1301
_cell_length_c 7.7020
_cell_angle_alpha 122.75
_cell_angle_beta 122.75
_cell_angle_gamma 35.18
_space_group_name_H-M_alt 'P 1'
_space_group_IT_number 1
loop_
_space_group_symop_operation_xyz
'x,y,z'
loop_
_atom_site_label
_atom_site_type_symbol
_atom_site_fract_x
_atom_site_fract_y
_atom_site_fract_z
Pr1 Pr 0.2322 0.2322 0.2093
Pr2 Pr 0.7678 0.7678 0.7907
H1 H 0.0061 0.0061 0.8895
H2 H 0.1139 0.1139 0.6329
H3 H 0.2958 0.2958 0.9726
H4 H 0.4085 0.4085 0.6243
H5 H 0.5915 0.5915 0.3757
H6 H 0.7042 0.7042 0.0274
H7 H 0.8861 0.8861 0.3671
H8 H 0.9939 0.9939 0.1105
Pd1 Pd 0.0499 0.0499 0.3650
Pd2 Pd 0.9501 0.9501 0.6350

Entry 12:
# PrH3Pd3 | Alexandria | PBE-GGA | optimized geometry
# * uncorrected energy: -4.7207 eV/atom
data_PrH3Pd3
_cell_length_a 6.0605
_cell_length_b 6.0605
_cell_length_c 6.0605
_cell_angle_alpha 64.62
_cell_angle_beta 64.62
_cell_angle_gamma 64.62
_space_group_name_H-M_alt 'P 1'
_space_group_IT_number 1
loop_
_space_group_symop_operation_xyz
'x,y,z'
loop_
_atom_site_label
_atom_site_type_symbol
_atom_site_fract_x
_atom_site_fract_y
_atom_site_fract_z
Pr1 Pr 0.2340 0.2340 0.2340
Pr2 Pr 0.7660 0.7660 0.7660
H1 H 0.0461 0.0461 0.6949
H2 H 0.0461 0.6949 0.0461
H3 H 0.3051 0.9539 0.9539
H4 H 0.6949 0.0461 0.0461
H5 H 0.9539 0.3051 0.9539
H6 H 0.9539 0.9539 0.3051
Pd1 Pd 0.2682 0.2682 0.7054
Pd2 Pd 0.2682 0.7054 0.2682
Pd3 Pd 0.2946 0.7318 0.7318
Pd4 Pd 0.7054 0.2682 0.2682
Pd5 Pd 0.7318 0.2946 0.7318
Pd6 Pd 0.7318 0.7318 0.2946